No. 1
Material: BaAl3
Method: DFT, PBE
State: optimized geometry

Results
raw total energy: -3.454 eV/atom
E_form: -166 meV/atom

Cell lengths 7.4431, 7.4431, 4.5138 Å; angles 90.00, 90.00, 119.94 degrees
Fractional positions:
Al (0.2540, 0.1267, 0.2500)
Al (0.8730, 0.1270, 0.2500)
Al (0.1267, 0.2540, 0.7500)
Al (0.8733, 0.7460, 0.2500)
Al (0.7460, 0.8733, 0.7500)
Ba (0.3334, 0.6666, 0.2500)
Ba (0.6666, 0.3334, 0.7500)
Al (0.1270, 0.8730, 0.7500)

***

No. 2
Material: AlBiAsPt2
Method: DFT, PBE
State: optimized geometry

Results
raw total energy: -4.347 eV/atom
E_form: 524 meV/atom

Cell lengths 4.5783, 5.5619, 4.5783 Å; angles 90.00, 90.00, 90.00 degrees
Fractional positions:
Al (0.0000, 0.0000, 0.0000)
As (0.5000, 0.5000, 0.5000)
Pt (0.5000, 0.0000, 0.0000)
Bi (0.0000, 0.5000, 0.0000)
Pt (0.0000, 0.0000, 0.5000)

***

No. 3
Material: NdSm3Tm4
Method: DFT, PBE
State: optimized geometry

Results
raw total energy: -4.579 eV/atom
polymorph energy (0 for the lowest one): 0.002 eV/atom
E_form: 22 meV/atom

Cell lengths 6.2642, 7.2775, 11.3780 Å; angles 90.00, 90.00, 90.00 degrees
Fractional positions:
Tm (0.4811, 0.8792, 0.7505)
Sm (0.6460, 0.6283, 0.0000)
Tm (0.9811, 0.1208, 0.2505)
Tm (0.1477, 0.8796, 0.5000)
Nd (0.1462, 0.3724, 0.0000)
Tm (0.6477, 0.1204, 0.0000)
Tm (0.9811, 0.1208, 0.7495)
Tm (0.4811, 0.8792, 0.2495)
Tm (0.1482, 0.8793, 0.0000)
Sm (0.4825, 0.3713, 0.2499)
Sm (0.1460, 0.3717, 0.5000)
Tm (0.6482, 0.1207, 0.5000)
Sm (0.9825, 0.6287, 0.7499)
Sm (0.4825, 0.3713, 0.7501)
Sm (0.9825, 0.6287, 0.2501)
Nd (0.6462, 0.6276, 0.5000)

***

No. 4
Material: U4SbPd15
Method: DFT, PBE
State: optimized geometry

Results
raw formation energy: -0.4811 eV per atom
raw total energy: -6.839 eV/atom

Cell lengths 4.1421, 4.1421, 20.5604 Å; angles 90.00, 90.00, 90.00 degrees
Fractional positions:
U (0.0000, 0.0000, 0.8045)
Pd (0.5000, 0.0000, 0.7022)
Pd (0.5000, 0.5000, 0.0000)
Pd (0.0000, 0.5000, 0.7022)
Sb (0.0000, 0.0000, 0.0000)
Pd (0.5000, 0.0000, 0.9009)
U (0.0000, 0.0000, 0.6014)
Pd (0.0000, 0.5000, 0.9009)
U (0.0000, 0.0000, 0.1955)
Pd (0.5000, 0.5000, 0.6010)
U (0.0000, 0.0000, 0.3986)
Pd (0.0000, 0.5000, 0.0991)
Pd (0.5000, 0.0000, 0.5000)
Pd (0.5000, 0.5000, 0.3990)
Pd (0.5000, 0.5000, 0.8021)
Pd (0.5000, 0.0000, 0.2978)
Pd (0.5000, 0.0000, 0.0991)
Pd (0.0000, 0.5000, 0.5000)
Pd (0.0000, 0.5000, 0.2978)
Pd (0.5000, 0.5000, 0.1979)

***

No. 5
Material: Ac14PrY
Method: DFT, PBE
State: optimized geometry

Results
raw total energy: -4.275 eV/atom
E_form: 22 meV/atom

Cell lengths 7.8972, 7.8972, 11.2382 Å; angles 90.00, 90.00, 90.00 degrees
Fractional positions:
Ac (0.6244, 0.3756, 0.7545)
Ac (0.8759, 0.6258, 0.5000)
Ac (0.6243, 0.8743, 0.2444)
Ac (0.8740, 0.6239, 0.0000)
Ac (0.1257, 0.3757, 0.2444)
Ac (0.8751, 0.1249, 0.5000)
Pr (0.8748, 0.1252, 0.0000)
Ac (0.1256, 0.8744, 0.7567)
Ac (0.6244, 0.3756, 0.2455)
Ac (0.1257, 0.3757, 0.7556)
Ac (0.3748, 0.6252, 0.5000)
Y (0.3752, 0.6248, 0.0000)
Ac (0.6243, 0.8743, 0.7556)
Ac (0.3742, 0.1241, 0.5000)
Ac (0.1256, 0.8744, 0.2433)
Ac (0.3761, 0.1260, 0.0000)

***

No. 6
Material: HPdPbCl2
Method: DFT, PBE
State: optimized geometry

Results
raw total energy: -3.051 eV/atom

Cell lengths 5.0985, 3.7742, 5.0985 Å; angles 90.00, 90.00, 90.00 degrees
Fractional positions:
Cl (0.5000, 0.0000, 0.0000)
Pd (0.5000, 0.5000, 0.5000)
Cl (0.0000, 0.0000, 0.5000)
Pb (0.0000, 0.5000, 0.0000)
H (0.0000, 0.0000, 0.0000)

***

No. 7
Material: Zn2SbH2
Method: DFT, PBE
State: optimized geometry

Results
raw total energy: -2.529 eV/atom
polymorph energy (0 for the lowest one): 0.000 eV/atom

Cell lengths 4.7048, 4.7048, 6.7870 Å; angles 134.90, 134.90, 58.95 degrees
Fractional positions:
Zn (0.4953, 0.4953, 0.7428)
Zn (0.5047, 0.5047, 0.2572)
H (0.0829, 0.9171, 0.5000)
H (0.9171, 0.0829, 0.5000)
Sb (0.0000, 0.0000, 0.0000)

***

No. 8
Material: HgMo2Os
Method: DFT, PBE
State: optimized geometry

Results
raw total energy: -7.870 eV/atom
E_form: 429 meV/atom

Cell lengths 9.7725, 9.7725, 9.7725 Å; angles 16.66, 16.66, 16.66 degrees
Fractional positions:
Hg (0.7511, 0.7511, 0.7511)
Mo (0.2460, 0.2460, 0.2460)
Os (0.5068, 0.5068, 0.5068)
Mo (0.9960, 0.9960, 0.9960)